VASP calculation (PBEsol) on crystalline Co3SbMo at its relaxed geometry.

Spin magnetization: 0.00 μB/f.u.
SG: Pm-3m (221)
Energy relative to the lowest polymorph listed for this composition: 0 meV per atom
E_form (uncorrected): 1.2897 eV/atom

Unit cell a=4.3670 b=4.3670 c=4.3670 alpha=90.00 beta=90.00 gamma=90.00
Fractional coordinates of all 5 atoms:
Sb 0.5000 0.5000 0.5000
Mo 0.0000 0.0000 0.0000
Co 0.0000 0.5000 0.0000
Co 0.0000 0.0000 0.5000
Co 0.5000 0.0000 0.0000

***

VASP calculation (PBEsol) on crystalline Ti3CoS6 at its relaxed geometry.

Spin magnetization: 0.00 μB/f.u.
SG: P6_322 (182)
E_form (uncorrected): -1.2443 eV/atom

Unit cell a=5.6649 b=5.6649 c=11.1911 alpha=90.00 beta=90.00 gamma=120.00
Fractional coordinates of all 20 atoms:
Ti 0.0000 0.0000 0.5000
Ti 0.0000 0.0000 0.0000
Ti 0.3333 0.6667 0.9950
Ti 0.6667 0.3333 0.4950
Ti 0.6667 0.3333 0.0050
Ti 0.3333 0.6667 0.5050
Co 0.3333 0.6667 0.2500
Co 0.6667 0.3333 0.7500
S 0.0076 0.6693 0.3656
S 0.6617 0.9924 0.3656
S 0.9924 0.3307 0.8656
S 0.6693 0.0076 0.6344
S 0.3307 0.3383 0.3656
S 0.3383 0.0076 0.8656
S 0.9924 0.6617 0.6344
S 0.3307 0.9924 0.1344
S 0.6693 0.6617 0.8656
S 0.0076 0.3383 0.1344
S 0.3383 0.3307 0.6344
S 0.6617 0.6693 0.1344

***

VASP calculation (PBEsol) on crystalline Zn2GaSiF at its relaxed geometry.

Spin magnetization: 0.00 μB/f.u.
SG: P4/mmm (123)
E_form (uncorrected): 0.0187 eV/atom

Unit cell a=4.6133 b=4.6133 c=4.8932 alpha=90.00 beta=90.00 gamma=90.00
Fractional coordinates of all 5 atoms:
Zn 0.0000 0.5000 0.0000
Zn 0.5000 0.0000 0.0000
Si 0.0000 0.0000 0.0000
Ga 0.0000 0.0000 0.5000
F 0.5000 0.5000 0.5000

***

VASP calculation (PBEsol) on crystalline CaHgPb2 at its relaxed geometry.

Spin magnetization: 0.00 μB/f.u.
SG: Cm (8)
Energy of formation from the pure elements: -309 meV/atom

Unit cell a=3.7233 b=5.3902 c=6.3328 alpha=115.16 beta=107.10 gamma=90.00
Fractional coordinates of all 4 atoms:
Pb 0.9856 0.0223 0.9712
Pb 0.7509 0.2186 0.5019
Ca 0.5152 0.5531 0.0304
Hg 0.2483 0.7060 0.4965

***

VASP calculation (PBEsol) on crystalline CrAg2W at its relaxed geometry.

Spin magnetization: 1.22 μB/f.u.
SG: Immm (71)
Energy of formation from the pure elements: 650 meV/atom
Energy relative to the lowest polymorph listed for this composition: 1 meV per atom

Unit cell a=3.0643 b=4.1907 c=5.3649 alpha=112.99 beta=106.59 gamma=90.00
Site moments in Bohr magnetons follow the coordinates.
Fractional coordinates of all 4 atoms:
Ag 0.7393 0.7393 0.4786  -0.01
Ag 0.2607 0.2607 0.5214  -0.01
Cr 0.0000 0.5000 0.0000  1.76
W 0.5000 0.0000 0.0000  -0.53

***

VASP calculation (PBEsol) on crystalline Mn2CrNi at its relaxed geometry.

Spin magnetization: 1.02 μB/f.u.
SG: I4/mmm (139)
Energy of formation from the pure elements: 85 meV/atom

Unit cell a=3.5289 b=4.2253 c=3.5302 alpha=114.69 beta=90.00 gamma=114.68
Site moments in Bohr magnetons follow the coordinates.
Fractional coordinates of all 4 atoms:
Ni 0.5000 0.0000 0.0000  -0.09
Mn 0.7500 0.5000 0.7500  0.99
Mn 0.2500 0.5000 0.2500  0.99
Cr 0.0000 0.0000 0.5000  -0.88

***

VASP calculation (PBEsol) on crystalline NbSeBr at its relaxed geometry.

Spin magnetization: 0.00 μB/f.u.
SG: F-43m (216)
E_form (uncorrected): -0.9068 eV/atom

Unit cell a=7.2966 b=7.2966 c=7.2966 alpha=60.00 beta=60.00 gamma=60.00
Fractional coordinates of all 12 atoms:
Nb 0.6472 0.6472 0.0583
Nb 0.0583 0.6472 0.6472
Nb 0.6472 0.6472 0.6472
Nb 0.6472 0.0583 0.6472
Se 0.8870 0.8870 0.3391
Se 0.3391 0.8870 0.8870
Se 0.8870 0.8870 0.8870
Se 0.8870 0.3391 0.8870
Br 0.3792 0.3792 0.8624
Br 0.8624 0.3792 0.3792
Br 0.3792 0.3792 0.3792
Br 0.3792 0.8624 0.3792

***

VASP calculation (PBEsol) on crystalline Ba5Sc6O14 at its relaxed geometry.

Spin magnetization: 0.13 μB/f.u.
SG: Cmc2_1 (36)
E_form (uncorrected): -3.1103 eV/atom

Unit cell a=8.8549 b=8.8549 c=11.6178 alpha=90.00 beta=90.00 gamma=93.61
Fractional coordinates of all 50 atoms:
Ba 0.2804 0.9680 0.7380
Ba 0.0320 0.7196 0.2380
Ba 0.6872 0.9676 0.8081
Ba 0.0324 0.3128 0.3081
Ba 0.5200 0.5200 0.7617
Ba 0.4800 0.4800 0.2617
Ba 0.9676 0.6872 0.8081
Ba 0.3128 0.0324 0.3081
Ba 0.7196 0.0320 0.2380
Ba 0.9680 0.2804 0.7380
Sc 0.3567 0.8416 0.0277
Sc 0.1584 0.6433 0.5277
Sc 0.5079 0.7898 0.4954
Sc 0.2102 0.4921 0.9954
Sc 0.7018 0.7018 0.0561
Sc 0.0143 0.0143 0.0298
Sc 0.2982 0.2982 0.5561
Sc 0.9857 0.9857 0.5298
Sc 0.7898 0.5079 0.4954
Sc 0.4921 0.2102 0.9954
Sc 0.8416 0.3567 0.0277
Sc 0.6433 0.1584 0.5277
O 0.0648 0.8076 0.6124
O 0.1924 0.9352 0.1124
O 0.3044 0.7496 0.4225
O 0.2504 0.6956 0.9225
O 0.0059 0.4395 0.9267
O 0.5605 0.9941 0.4267
O 0.4907 0.8022 0.6624
O 0.1978 0.5093 0.1624
O 0.2247 0.4808 0.6319
O 0.5192 0.7753 0.1319
O 0.8614 0.8614 0.0894
O 0.3700 0.3700 0.9362
O 0.6951 0.6951 0.8903
O 0.1386 0.1386 0.5894
O 0.9971 0.9971 0.3619
O 0.3049 0.3049 0.3903
O 0.0029 0.0029 0.8619
O 0.6300 0.6300 0.4362
O 0.4808 0.2247 0.6319
O 0.7753 0.5192 0.1319
O 0.5093 0.1978 0.1624
O 0.8022 0.4907 0.6624
O 0.9941 0.5605 0.4267
O 0.4395 0.0059 0.9267
O 0.6956 0.2504 0.9225
O 0.7496 0.3044 0.4225
O 0.8076 0.0648 0.6124
O 0.9352 0.1924 0.1124

***

VASP calculation (PBEsol) on crystalline SrMgI2 at its relaxed geometry.

Spin magnetization: 0.00 μB/f.u.
SG: I-42d (122)
E_form (uncorrected): -0.7985 eV/atom

Unit cell a=7.6756 b=7.6756 c=7.6756 alpha=105.24 beta=105.24 gamma=118.30
Fractional coordinates of all 8 atoms:
I 0.6250 0.6675 0.5425
I 0.1250 0.0825 0.4575
I 0.9175 0.3750 0.0425
I 0.3325 0.8750 0.9575
Sr 0.0000 0.0000 0.0000
Sr 0.2500 0.7500 0.5000
Mg 0.5000 0.5000 0.0000
Mg 0.7500 0.2500 0.5000

***

VASP calculation (PBEsol) on crystalline KAgAu2 at its relaxed geometry.

Spin magnetization: 0.00 μB/f.u.
SG: Fm-3m (225)
Energy of formation from the pure elements: 225 meV/atom
Energy relative to the lowest polymorph listed for this composition: 63 meV per atom

Unit cell a=4.8979 b=4.8979 c=4.8979 alpha=60.00 beta=60.00 gamma=60.00
Fractional coordinates of all 4 atoms:
Ag 0.0000 0.0000 0.0000
Au 0.2500 0.2500 0.2500
Au 0.7500 0.7500 0.7500
K 0.5000 0.5000 0.5000

***

VASP calculation (PBEsol) on crystalline NiAs2Ru at its relaxed geometry.

Spin magnetization: 0.00 μB/f.u.
SG: P4/mmm (123)
Energy of formation from the pure elements: 29 meV/atom
Energy relative to the lowest polymorph listed for this composition: 0 meV per atom

Unit cell a=2.9945 b=4.2752 c=4.2752 alpha=90.00 beta=90.00 gamma=90.00
Fractional coordinates of all 4 atoms:
As 0.0000 0.0000 0.5000
As 0.0000 0.5000 0.0000
Ni 0.5000 0.5000 0.5000
Ru 0.5000 0.0000 0.0000

***

VASP calculation (PBEsol) on crystalline LiTa2CuO6 at its relaxed geometry.

Spin magnetization: 0.05 μB/f.u.
SG: R32 (155)
E_form (uncorrected): -2.3632 eV/atom

Unit cell a=5.1761 b=5.1761 c=5.5158 alpha=62.02 beta=62.02 gamma=60.00
Fractional coordinates of all 10 atoms:
Li 0.5000 0.5000 0.5000
Ta 0.2485 0.2485 0.2544
Ta 0.7515 0.7515 0.7456
Cu 0.0000 0.0000 0.0000
O 0.0000 0.6173 0.0000
O 0.3827 0.0000 0.0000
O 0.6173 0.3827 0.0000
O 0.8767 0.1233 0.5000
O 0.1233 0.5000 0.5000
O 0.5000 0.8767 0.5000

***

VASP calculation (PBEsol) on crystalline TiBi2Pt at its relaxed geometry.

Spin magnetization: 0.00 μB/f.u.
SG: I-42d (122)
Energy of formation from the pure elements: 155 meV/atom
Energy relative to the lowest polymorph listed for this composition: 81 meV per atom

Unit cell a=4.4986 b=4.4986 c=9.7459 alpha=103.34 beta=103.34 gamma=90.00
Fractional coordinates of all 8 atoms:
Bi 0.8739 0.3750 0.2500
Bi 0.3761 0.8750 0.2500
Bi 0.6250 0.6239 0.7500
Bi 0.1250 0.1261 0.7500
Pt 0.2500 0.7500 0.5000
Pt 0.0000 0.0000 0.0000
Ti 0.7500 0.2500 0.5000
Ti 0.5000 0.5000 0.0000

***

VASP calculation (PBEsol) on crystalline GeSbPb3 at its relaxed geometry.

Spin magnetization: 0.00 μB/f.u.
SG: Pm-3m (221)
E_form (uncorrected): 0.8592 eV/atom

Unit cell a=5.7252 b=5.7252 c=5.7252 alpha=90.00 beta=90.00 gamma=90.00
Fractional coordinates of all 5 atoms:
Pb 0.0000 0.5000 0.0000
Pb 0.0000 0.0000 0.5000
Pb 0.5000 0.0000 0.0000
Sb 0.0000 0.0000 0.0000
Ge 0.5000 0.5000 0.5000

***

VASP calculation (PBEsol) on crystalline Sc2SbTe at its relaxed geometry.

Spin magnetization: 0.71 μB/f.u.
SG: Fm-3m (225)
Energy relative to the lowest polymorph listed for this composition: 293 meV per atom
E_form (uncorrected): -0.8105 eV/atom

Unit cell a=5.0625 b=5.0625 c=5.0625 alpha=60.00 beta=60.00 gamma=60.00
Site moments in Bohr magnetons follow the coordinates.
Fractional coordinates of all 4 atoms:
Sb 0.5000 0.5000 0.5000  -0.01
Sc 0.2500 0.2500 0.2500  0.23
Sc 0.7500 0.7500 0.7500  0.23
Te 0.0000 0.0000 0.0000  -0.01

***

VASP calculation (PBEsol) on crystalline LiTiV3O10 at its relaxed geometry.

Spin magnetization: 0.00 μB/f.u.
SG: C2 (5)
E_form (uncorrected): -2.3982 eV/atom

Unit cell a=4.7264 b=6.5076 c=6.5076 alpha=90.72 beta=92.64 gamma=92.64
Fractional coordinates of all 15 atoms:
Li 0.0000 0.0010 0.9990
Ti 0.5000 0.7498 0.2502
V 0.5000 0.2494 0.7506
V 0.3870 0.7573 0.7590
V 0.6130 0.2410 0.2427
O 0.6757 0.2380 0.5279
O 0.7248 0.7921 0.7915
O 0.3243 0.4721 0.7620
O 0.2642 0.0418 0.7618
O 0.7358 0.2382 0.9582
O 0.2583 0.7637 0.0247
O 0.7417 0.9753 0.2363
O 0.6894 0.5128 0.2410
O 0.2752 0.2085 0.2079
O 0.3106 0.7590 0.4872

***

VASP calculation (PBEsol) on crystalline K3SmGa3B12S12I at its relaxed geometry.

Spin magnetization: 0.00 μB/f.u.
SG: P6_322 (182)
E_form (uncorrected): -0.8272 eV/atom

Unit cell a=9.1510 b=12.9236 c=12.9236 alpha=120.00 beta=90.00 gamma=90.00
Fractional coordinates of all 64 atoms:
K 0.5000 0.2183 0.0000
K 0.5000 0.7817 0.7817
K 0.5000 0.0000 0.2183
K 0.0000 0.7817 0.0000
K 0.0000 0.2183 0.2183
K 0.0000 0.0000 0.7817
Sm 0.2500 0.3333 0.6667
Sm 0.7500 0.6667 0.3333
Ga 0.5000 0.5396 0.0000
Ga 0.5000 0.4604 0.4604
Ga 0.5000 0.0000 0.5396
Ga 0.0000 0.4604 0.0000
Ga 0.0000 0.5396 0.5396
Ga 0.0000 0.0000 0.4604
B 0.7152 0.4633 0.7952
B 0.7152 0.3319 0.5367
B 0.7152 0.2048 0.6681
B 0.2848 0.7952 0.4633
B 0.2848 0.5367 0.3319
B 0.2848 0.6681 0.2048
B 0.2152 0.5367 0.2048
B 0.2152 0.6681 0.4633
B 0.2152 0.7952 0.3319
B 0.7848 0.2048 0.5367
B 0.7848 0.4633 0.6681
B 0.7848 0.3319 0.7952
B 0.6036 0.3360 0.7473
B 0.6036 0.4113 0.6640
B 0.6036 0.2527 0.5887
B 0.3964 0.7473 0.3360
B 0.3964 0.6640 0.4113
B 0.3964 0.5887 0.2527
B 0.1036 0.6640 0.2527
B 0.1036 0.5887 0.3360
B 0.1036 0.7473 0.4113
B 0.8964 0.2527 0.6640
B 0.8964 0.3360 0.5887
B 0.8964 0.4113 0.7473
S 0.6804 0.6066 0.9322
S 0.6804 0.3256 0.3934
S 0.6804 0.0678 0.6744
S 0.3196 0.9322 0.6066
S 0.3196 0.3934 0.3256
S 0.3196 0.6744 0.0678
S 0.1804 0.3934 0.0678
S 0.1804 0.6744 0.6066
S 0.1804 0.9322 0.3256
S 0.8196 0.0678 0.3934
S 0.8196 0.6066 0.6744
S 0.8196 0.3256 0.9322
S 0.4438 0.3479 0.8424
S 0.4438 0.4946 0.6521
S 0.4438 0.1576 0.5054
S 0.5562 0.8424 0.3479
S 0.5562 0.6521 0.4946
S 0.5562 0.5054 0.1576
S 0.9438 0.6521 0.1576
S 0.9438 0.5054 0.3479
S 0.9438 0.8424 0.4946
S 0.0562 0.1576 0.6521
S 0.0562 0.3479 0.5054
S 0.0562 0.4946 0.8424
I 0.7500 0.0000 0.0000
I 0.2500 0.0000 0.0000

***

VASP calculation (PBEsol) on crystalline NiCl5 at its relaxed geometry.

Spin magnetization: 1.99 μB/f.u.
SG: P4/mmm (123)
E_form (uncorrected): 0.2822 eV/atom

Unit cell a=2.8074 b=2.8074 c=16.2779 alpha=90.00 beta=90.00 gamma=90.00
Site moments in Bohr magnetons follow the coordinates.
Fractional coordinates of all 6 atoms:
Cl 0.0000 0.0000 0.9084  0.31
Cl 0.0000 0.0000 0.0916  0.31
Cl 0.5000 0.5000 0.7138  0.01
Cl 0.5000 0.5000 0.2862  0.01
Cl 0.0000 0.0000 0.5000  0.00
Ni 0.5000 0.5000 0.0000  1.25

***

VASP calculation (PBEsol) on crystalline RbNbSb2 at its relaxed geometry.

Spin magnetization: 0.00 μB/f.u.
SG: I-42d (122)
E_form (uncorrected): 0.1912 eV/atom

Unit cell a=7.5125 b=8.3051 c=7.5125 alpha=63.11 beta=90.00 gamma=116.89
Fractional coordinates of all 8 atoms:
Sb 0.7602 0.7500 0.3750
Sb 0.9898 0.7500 0.8750
Sb 0.8750 0.2500 0.7602
Sb 0.3750 0.2500 0.9898
Nb 0.7500 0.5000 0.7500
Nb 0.0000 0.0000 0.0000
Rb 0.2500 0.5000 0.2500
Rb 0.5000 0.0000 0.5000

***

VASP calculation (PBEsol) on crystalline BTePtI2 at its relaxed geometry.

Spin magnetization: 0.00 μB/f.u.
SG: P4/mmm (123)
E_form (uncorrected): 1.1464 eV/atom

Unit cell a=5.1592 b=5.4312 c=5.4312 alpha=90.00 beta=90.00 gamma=90.00
Fractional coordinates of all 5 atoms:
I 0.0000 0.0000 0.5000
I 0.0000 0.5000 0.0000
B 0.5000 0.5000 0.5000
Te 0.5000 0.0000 0.0000
Pt 0.0000 0.0000 0.0000